(1)
{"formula": "Ac12Tb6Sm", "functional": "PBE", "state": "optimized geometry", "lattice": [[-1.074, 8.998, -3.831], [-3.007, -6.347, -6.889], [-6.434, -0.667, 7.413]], "species": ["Ac", "Ac", "Ac", "Ac", "Ac", "Ac", "Ac", "Ac", "Ac", "Ac", "Ac", "Ac", "Tb", "Tb", "Tb", "Tb", "Tb", "Tb", "Sm"], "frac_coords": [[0.480, 0.191, 0.579], [0.191, 0.579, 0.480], [0.579, 0.480, 0.191], [0.520, 0.809, 0.421], [0.809, 0.421, 0.520], [0.421, 0.520, 0.809], [0.270, 0.130, 0.832], [0.168, 0.730, 0.870], [0.870, 0.168, 0.730], [0.730, 0.870, 0.168], [0.832, 0.270, 0.130], [0.130, 0.832, 0.270], [0.074, 0.188, 0.464], [0.812, 0.536, 0.926], [0.536, 0.926, 0.812], [0.926, 0.812, 0.536], [0.188, 0.464, 0.074], [0.464, 0.074, 0.188], [0.000, 0.000, 0.000]], "formation_enthalpy_0k_mev_per_atom": 267}



(2)
{"formula": "Nd3P5Ir6", "functional": "PBE", "state": "optimized geometry", "lattice": [[3.911, 0.000, 0.000], [0.000, 10.077, 0.000], [0.000, 0.000, 12.249]], "species": ["Nd", "Nd", "Nd", "Nd", "Nd", "Nd", "P", "P", "P", "P", "P", "P", "P", "P", "P", "P", "Ir", "Ir", "Ir", "Ir", "Ir", "Ir", "Ir", "Ir", "Ir", "Ir", "Ir", "Ir"], "frac_coords": [[0.000, 0.243, 0.651], [0.500, 0.757, 0.151], [0.500, 0.757, 0.849], [0.000, 0.266, 0.000], [0.500, 0.734, 0.500], [0.000, 0.243, 0.349], [0.000, 0.525, 0.880], [0.000, 0.843, 0.673], [0.000, 0.890, 0.000], [0.500, 0.475, 0.620], [0.500, 0.110, 0.500], [0.000, 0.525, 0.120], [0.500, 0.475, 0.380], [0.000, 0.843, 0.327], [0.500, 0.157, 0.827], [0.500, 0.157, 0.173], [0.000, 0.020, 0.832], [0.500, 0.980, 0.668], [0.500, 0.393, 0.800], [0.500, 0.515, 0.000], [0.000, 0.485, 0.500], [0.000, 0.607, 0.700], [0.000, 0.607, 0.300], [0.500, 0.022, 0.000], [0.000, 0.020, 0.168], [0.500, 0.393, 0.200], [0.000, 0.978, 0.500], [0.500, 0.980, 0.332]], "formation_enthalpy_0k_mev_per_atom": -919}



(3)
{"formula": "MoRhBr2", "functional": "PBE", "state": "optimized geometry", "lattice": [[-4.576, 7.406, -1.311], [-5.470, 6.689, 1.684], [-2.738, 8.285, 1.165]], "species": ["Mo", "Rh", "Br", "Br"], "frac_coords": [[0.500, 0.500, 0.500], [0.000, 0.000, 0.000], [0.905, 0.905, 0.905], [0.095, 0.095, 0.095]], "raw_formation_energy_ev_per_atom": 0.49, "polymorph_energy_mev_per_atom": 493}



(4)
{"formula": "YSiPb", "functional": "PBE", "state": "optimized geometry", "lattice": [[-2.660, -0.265, -2.662], [2.652, -2.132, -2.438], [-1.679, -9.158, 2.590]], "species": ["Si", "Si", "Pb", "Pb", "Y", "Y"], "frac_coords": [[0.750, 0.461, 0.077], [0.250, 0.539, 0.923], [0.750, 0.304, 0.392], [0.250, 0.696, 0.608], [0.750, 0.085, 0.831], [0.250, 0.915, 0.169]], "raw_formation_energy_ev_per_atom": -0.51, "polymorph_energy_mev_per_atom": 0}



(5)
{"formula": "Ta4CoTc3", "functional": "PBE", "state": "optimized geometry", "lattice": [[3.178, 0.000, 0.000], [0.000, 3.178, 0.000], [0.000, 0.000, 12.527]], "species": ["Co", "Tc", "Tc", "Tc", "Ta", "Ta", "Ta", "Ta"], "frac_coords": [[0.500, 0.500, 0.000], [0.500, 0.500, 0.245], [0.500, 0.500, 0.500], [0.500, 0.500, 0.755], [0.000, 0.000, 0.880], [0.000, 0.000, 0.120], [0.000, 0.000, 0.373], [0.000, 0.000, 0.627]], "formation_enthalpy_0k_mev_per_atom": -387}



(6)
{"formula": "CaEuInRh", "functional": "PBE", "state": "optimized geometry", "lattice": [[-0.515, 5.126, -0.739], [-4.165, 1.863, -2.505], [-3.636, 2.654, 2.612]], "species": ["Eu", "Ca", "Rh", "In"], "frac_coords": [[0.250, 0.250, 0.250], [0.750, 0.750, 0.750], [0.000, 0.000, 0.000], [0.500, 0.500, 0.500]], "formation_enthalpy_0k_mev_per_atom": -306}



(7)
{"formula": "PuInHg3", "functional": "PBE", "state": "optimized geometry", "lattice": [[-2.028, 5.027, 1.658], [-3.368, 1.156, -7.624], [-4.076, -3.590, 5.900]], "species": ["Pu", "Pu", "In", "In", "Hg", "Hg", "Hg", "Hg", "Hg", "Hg"], "frac_coords": [[0.750, 0.788, 0.575], [0.250, 0.212, 0.425], [0.750, 0.543, 0.085], [0.250, 0.457, 0.915], [0.750, 0.990, 0.353], [0.750, 0.363, 0.353], [0.250, 0.637, 0.647], [0.250, 0.010, 0.647], [0.000, 0.000, 0.000], [0.500, 0.000, 0.000]], "polymorph_energy_mev_per_atom": 33, "formation_enthalpy_0k_mev_per_atom": 166}



(8)
{"formula": "Ta3ReGe", "functional": "PBE", "state": "optimized geometry", "lattice": [[-3.612, -1.537, 2.493], [-2.004, -1.589, -3.884], [2.136, -4.091, 0.572]], "species": ["Re", "Ge", "Ta", "Ta", "Ta"], "frac_coords": [[0.500, 0.500, 0.500], [0.000, 0.000, 0.000], [0.000, 0.500, 0.000], [0.000, 0.000, 0.500], [0.500, 0.000, 0.000]], "polymorph_energy_mev_per_atom": 98, "formation_enthalpy_0k_mev_per_atom": 1359}



Number 1: electronic total energy -4.04 eV/atom, theoretical density 7.911 Mg/m³. Number 2: electronic total energy -7.67 eV/atom, theoretical density 11.976 Mg/m³. Number 3: electronic total energy -4.90 eV/atom, theoretical density 7.771 Mg/m³. Number 4: electronic total energy -5.71 eV/atom, theoretical density 7.227 Mg/m³. Number 5: electronic total energy -11.09 eV/atom, theoretical density 14.135 Mg/m³. Number 6: electronic total energy -5.90 eV/atom, theoretical density 6.825 Mg/m³. Number 7: electronic total energy -3.43 eV/atom, theoretical density 9.796 Mg/m³. Number 8: electronic total energy -9.17 eV/atom, theoretical density 13.237 Mg/m³.